No. 1
A plane-wave DFT calculation with PBE was carried out for a relaxed La7PrNd3 crystal.

Cell lengths 7.380, 7.380, 8.817 Å; angles 90.00, 90.00, 120.00 degrees
Element x y z (fractional)
La1 0.000 0.000 0.000
La2 0.003 0.501 0.018
La3 0.168 0.335 0.670
La4 0.168 0.832 0.670
La5 0.499 0.501 0.018
La6 0.499 0.997 0.018
La7 0.665 0.832 0.670
Pr1 0.667 0.333 0.686
Nd1 0.333 0.166 0.343
Nd2 0.834 0.166 0.343
Nd3 0.834 0.667 0.343

Distance to the lowest polymorph of the same formula = 0.041 eV/atom
Crystal system = trigonal


No. 2
A plane-wave DFT calculation with PBE was carried out for a relaxed CoTeAs2 crystal.

Cell lengths 4.689, 4.689, 4.689 Å; angles 108.38, 108.38, 111.68 degrees
Element x y z (fractional)
Co1 0.000 0.000 0.000
Te1 0.500 0.500 0.000
As1 0.000 0.500 0.500
As2 0.500 0.000 0.500

Crystal system = tetragonal
Raw formation energy = 1.29 eV per formula unit


No. 3
A plane-wave DFT calculation with PBE was carried out for a relaxed Ac4Cu2H crystal.

Cell lengths 8.585, 8.585, 8.585 Å; angles 145.03, 145.03, 50.30 degrees
Element x y z (fractional)
Ac1 0.000 0.500 0.500
Ac2 0.195 0.195 0.000
Ac3 0.500 0.000 0.500
Ac4 0.805 0.805 0.000
Cu1 0.382 0.382 0.000
Cu2 0.618 0.618 0.000
H1 0.000 0.000 0.000

Crystal system = tetragonal
Uncorrected energy = -4.05 eV/atom


No. 4
A plane-wave DFT calculation with PBE was carried out for a relaxed TlNiPt crystal.

Cell lengths 4.382, 4.382, 3.013 Å; angles 90.00, 90.00, 120.00 degrees
Element x y z (fractional)
Tl1 0.000 0.000 0.000
Ni1 0.333 0.667 0.290
Pt1 0.667 0.333 0.591

Distance to the lowest polymorph of the same formula = 0.051 eV/atom
Crystal system = trigonal


No. 5
A plane-wave DFT calculation with PBE was carried out for a relaxed Tb4Np6O19 crystal.

Cell lengths 8.375, 8.375, 8.375 Å; angles 109.47, 109.47, 109.47 degrees
Element x y z (fractional)
Tb1 0.000 0.000 0.713
Tb2 0.000 0.713 0.000
Tb3 0.287 0.287 0.287
Tb4 0.713 0.000 0.000
Np1 0.178 0.678 0.500
Np2 0.322 0.500 0.822
Np3 0.500 0.178 0.678
Np4 0.500 0.822 0.322
Np5 0.678 0.500 0.178
Np6 0.822 0.322 0.500
O1 0.000 0.000 0.000
O2 0.000 0.357 0.357
O3 0.000 0.643 0.643
O4 0.019 0.250 0.666
O5 0.230 0.981 0.647
O6 0.250 0.666 0.019
O7 0.334 0.583 0.353
O8 0.353 0.334 0.583
O9 0.357 0.000 0.357
O10 0.357 0.357 0.000
O11 0.417 0.750 0.770
O12 0.583 0.353 0.334
O13 0.643 0.000 0.643
O14 0.643 0.643 0.000
O15 0.647 0.230 0.981
O16 0.666 0.019 0.250
O17 0.750 0.770 0.417
O18 0.770 0.417 0.750
O19 0.981 0.647 0.230

Crystal system = cubic
Raw formation energy = -88.19 eV per formula unit


No. 6
A plane-wave DFT calculation with PBE was carried out for a relaxed SmLuSc crystal.

Cell lengths 7.676, 7.676, 7.676 Å; angles 153.93, 153.93, 37.20 degrees
Element x y z (fractional)
Sm1 0.000 0.000 0.000
Lu1 0.323 0.323 0.000
Sc1 0.664 0.664 0.000

Distance to the lowest polymorph of the same formula = 0.000 eV/atom
Crystal system = tetragonal


No. 7
A plane-wave DFT calculation with PBE was carried out for a relaxed NaTaF3 crystal.

Cell lengths 4.050, 4.050, 4.050 Å; angles 90.00, 90.00, 90.00 degrees
Element x y z (fractional)
Na1 0.000 0.000 0.000
Ta1 0.500 0.500 0.500
F1 0.000 0.000 0.500
F2 0.000 0.500 0.000
F3 0.500 0.000 0.000

Distance to the lowest polymorph of the same formula = 0.731 eV/atom
Crystal system = cubic
Raw formation energy = -5.56 eV per formula unit


No. 8
A plane-wave DFT calculation with PBE was carried out for a relaxed CaRhPb2O6 crystal.

Cell lengths 5.662, 5.928, 9.948 Å; angles 90.00, 124.14, 90.00 degrees
Element x y z (fractional)
Ca1 0.000 0.000 0.000
Ca2 0.000 0.500 0.500
Rh1 0.500 0.000 0.500
Rh2 0.500 0.500 0.000
Pb1 0.224 0.044 0.737
Pb2 0.224 0.456 0.237
Pb3 0.776 0.544 0.763
Pb4 0.776 0.956 0.263
O1 0.163 0.175 0.454
O2 0.163 0.325 0.954
O3 0.247 0.726 0.421
O4 0.247 0.774 0.921
O5 0.395 0.072 0.275
O6 0.395 0.428 0.775
O7 0.605 0.572 0.225
O8 0.605 0.928 0.725
O9 0.753 0.226 0.079
O10 0.753 0.274 0.579
O11 0.837 0.675 0.046
O12 0.837 0.825 0.546

Crystal system = monoclinic
Raw formation energy = -13.20 eV per formula unit


No. 9
A plane-wave DFT calculation with PBE was carried out for a relaxed BaTi2Pd2 crystal.

Cell lengths 6.471, 6.471, 6.471 Å; angles 139.26, 139.26, 58.98 degrees
Element x y z (fractional)
Ba1 0.000 0.000 0.000
Ti1 0.250 0.750 0.500
Ti2 0.750 0.250 0.500
Pd1 0.365 0.365 0.000
Pd2 0.635 0.635 0.000

Distance to the lowest polymorph of the same formula = 0.000 eV/atom
Crystal system = tetragonal


No. 10
A plane-wave DFT calculation with PBE was carried out for a relaxed SiPCl crystal.

Cell lengths 7.858, 7.455, 3.414 Å; angles 83.81, 70.60, 25.59 degrees
Element x y z (fractional)
Si1 0.000 0.000 0.000
P1 0.399 0.399 0.601
Cl1 0.629 0.629 0.371

Distance to the lowest polymorph of the same formula = 0.805 eV/atom
Crystal system = orthorhombic
Raw formation energy = 0.73 eV per formula unit


No. 11
A plane-wave DFT calculation with PBE was carried out for a relaxed Dy3Th2UP6 crystal.

Cell lengths 9.041, 9.041, 8.090 Å; angles 102.86, 102.86, 25.84 degrees
Element x y z (fractional)
Dy1 0.000 0.000 0.000
Dy2 0.332 0.332 0.667
Dy3 0.668 0.668 0.333
Th1 0.335 0.335 0.168
Th2 0.665 0.665 0.832
U1 0.000 0.000 0.500
P1 0.165 0.165 0.088
P2 0.165 0.165 0.576
P3 0.497 0.497 0.744
P4 0.503 0.503 0.256
P5 0.835 0.835 0.424
P6 0.835 0.835 0.912

Crystal system = monoclinic
Uncorrected energy = -7.51 eV/atom


No. 12
A plane-wave DFT calculation with PBE was carried out for a relaxed SiHg crystal.

Cell lengths 3.964, 3.964, 6.517 Å; angles 90.00, 90.00, 120.00 degrees
Element x y z (fractional)
Si1 0.333 0.667 0.250
Si2 0.667 0.333 0.750
Hg1 0.000 0.000 0.000
Hg2 0.000 0.000 0.500

Distance to the lowest polymorph of the same formula = 0.505 eV/atom
Crystal system = hexagonal
Raw formation energy = 1.30 eV per formula unit


No. 13
A plane-wave DFT calculation with PBE was carried out for a relaxed Ce2YEr3Bi6 crystal.

Cell lengths 10.067, 10.067, 9.004 Å; angles 102.83, 102.83, 25.91 degrees
Element x y z (fractional)
Ce1 0.166 0.166 0.332
Ce2 0.834 0.834 0.668
Y1 0.500 0.500 0.000
Er1 0.167 0.167 0.834
Er2 0.500 0.500 0.500
Er3 0.833 0.833 0.166
Bi1 0.002 0.002 0.749
Bi2 0.333 0.333 0.923
Bi3 0.335 0.335 0.412
Bi4 0.665 0.665 0.588
Bi5 0.667 0.667 0.077
Bi6 0.998 0.998 0.251

Crystal system = monoclinic
Uncorrected energy = -5.43 eV/atom


No. 14
A plane-wave DFT calculation with PBE was carried out for a relaxed AcTb5SmDy2 crystal.

Cell lengths 9.914, 9.914, 9.914 Å; angles 126.13, 126.13, 79.68 degrees
Element x y z (fractional)
Ac1 0.250 0.250 0.000
Ac2 0.750 0.750 0.000
Tb1 0.000 0.000 0.000
Tb2 0.074 0.574 0.902
Tb3 0.173 0.074 0.500
Tb4 0.327 0.827 0.902
Tb5 0.426 0.327 0.500
Tb6 0.500 0.500 0.000
Tb7 0.574 0.673 0.500
Tb8 0.673 0.173 0.098
Tb9 0.827 0.926 0.500
Tb10 0.926 0.426 0.098
Sm1 0.250 0.750 0.500
Sm2 0.750 0.250 0.500
Dy1 0.114 0.386 0.500
Dy2 0.386 0.886 0.272
Dy3 0.614 0.114 0.728
Dy4 0.886 0.614 0.500

Crystal system = tetragonal
Uncorrected energy = -4.30 eV/atom


No. 15
A plane-wave DFT calculation with PBE was carried out for a relaxed Ba3Mg2Al7 crystal.

Cell lengths 10.175, 10.175, 10.175 Å; angles 34.45, 34.45, 34.45 degrees
Element x y z (fractional)
Ba1 0.000 0.000 0.000
Ba2 0.143 0.143 0.143
Ba3 0.857 0.857 0.857
Mg1 0.334 0.334 0.334
Mg2 0.666 0.666 0.666
Al1 0.079 0.585 0.585
Al2 0.415 0.415 0.921
Al3 0.415 0.921 0.415
Al4 0.500 0.500 0.500
Al5 0.585 0.079 0.585
Al6 0.585 0.585 0.079
Al7 0.921 0.415 0.415

Crystal system = trigonal
Uncorrected energy = -3.11 eV/atom


No. 16
A plane-wave DFT calculation with PBE was carried out for a relaxed Tc2GeI crystal.

Cell lengths 6.961, 6.961, 6.961 Å; angles 130.44, 130.44, 72.70 degrees
Element x y z (fractional)
Tc1 0.103 0.625 0.978
Tc2 0.375 0.353 0.478
Tc3 0.647 0.125 0.022
Tc4 0.875 0.897 0.522
Ge1 0.000 0.000 0.000
Ge2 0.750 0.250 0.500
I1 0.250 0.750 0.500
I2 0.500 0.500 0.000

Distance to the lowest polymorph of the same formula = 0.413 eV/atom
Crystal system = tetragonal
Raw formation energy = 4.04 eV per formula unit


No. 17
A plane-wave DFT calculation with PBE was carried out for a relaxed CoBr2Cl crystal.

Cell lengths 5.010, 5.010, 9.808 Å; angles 90.00, 90.00, 143.13 degrees
Element x y z (fractional)
Co1 0.000 0.000 0.000
Br1 0.000 0.000 0.504
Br2 0.500 0.500 0.830
Cl1 0.500 0.500 0.153

Distance to the lowest polymorph of the same formula = 0.259 eV/atom
Crystal system = orthorhombic
Raw formation energy = -0.27 eV per formula unit


No. 18
A plane-wave DFT calculation with PBE was carried out for a relaxed LiLaY2 crystal.

Cell lengths 3.681, 3.681, 9.083 Å; angles 90.00, 90.00, 90.00 degrees
Element x y z (fractional)
Li1 0.000 0.000 0.000
La1 0.500 0.500 0.764
Y1 0.000 0.000 0.479
Y2 0.500 0.500 0.212

Distance to the lowest polymorph of the same formula = 0.000 eV/atom
Crystal system = tetragonal


No. 19
A plane-wave DFT calculation with PBE was carried out for a relaxed Rb2BaUSe4 crystal.

Cell lengths 7.981, 4.477, 8.376 Å; angles 90.00, 107.98, 90.00 degrees
Element x y z (fractional)
Rb1 0.000 0.000 0.000
Rb2 0.500 0.500 0.000
Ba1 0.000 0.500 0.500
U1 0.500 0.000 0.500
Se1 0.277 0.000 0.704
Se2 0.296 0.500 0.305
Se3 0.704 0.500 0.695
Se4 0.723 0.000 0.296

Crystal system = monoclinic
Raw formation energy = -11.50 eV per formula unit


No. 20
A plane-wave DFT calculation with PBE was carried out for a relaxed AcPm3Bi3 crystal.

Cell lengths 8.509, 8.509, 8.509 Å; angles 69.10, 69.10, 69.10 degrees
Element x y z (fractional)
Ac1 0.166 0.166 0.166
Ac2 0.834 0.834 0.834
Pm1 0.152 0.681 0.413
Pm2 0.319 0.587 0.848
Pm3 0.413 0.152 0.681
Pm4 0.587 0.848 0.319
Pm5 0.681 0.413 0.152
Pm6 0.848 0.319 0.587
Bi1 0.039 0.420 0.791
Bi2 0.209 0.961 0.580
Bi3 0.420 0.791 0.039
Bi4 0.580 0.209 0.961
Bi5 0.791 0.039 0.420
Bi6 0.961 0.580 0.209

Crystal system = trigonal
Uncorrected energy = -4.98 eV/atom


Volume per entry: 37.810 19.815 29.550 16.704 15.595 29.082 13.282 13.816 22.863 23.972 23.386 22.168 32.353 34.126 25.061 23.861 36.918 30.773 35.583 37.053 Å³/atom